Entry 1:
## Ca4Ni2H (PBE-GGA)

Data for a relaxed Ca4Ni2H crystal.

Calculated values
- Crystal system: monoclinic
- Polymorph energy (0 for the lowest one): 0.00 eV per formula unit

Cell: 14.577 3.899 5.923 Å, 90.00 102.26 90.00°
Space group C2/m (No. 12)
Unique sites:
Ca: 0.084 0.000 0.277 (multiplicity 4)
Ca: 0.157 0.500 0.821 (multiplicity 4)
Ni: 0.237 0.500 0.389 (multiplicity 4)
H: 0.000 0.500 0.000 (multiplicity 2)

Entry 2:
## Ca4Ni2H (PBE-GGA)

Data for a relaxed Ca4Ni2H crystal.

Calculated values
- Crystal system: tetragonal
- Polymorph energy (0 for the lowest one): 0.80 eV per formula unit

Cell: 4.558 4.558 15.173 Å, 90.00 90.00 90.00°
Space group I4/mmm (No. 139)
Unique sites:
Ca: 0.000 0.000 0.185 (multiplicity 4)
Ca: 0.000 0.500 0.000 (multiplicity 4)
Ni: 0.000 0.000 0.375 (multiplicity 4)
H: 0.000 0.000 0.000 (multiplicity 2)

Entry 3:
## Ca5Ni2H12 (PBE-GGA)

Data for a relaxed Ca5Ni2H12 crystal.

Calculated values
- Crystal system: monoclinic
- Final energy: -137.7 eV per cell

Cell: 11.700 5.668 7.214 Å, 90.00 107.63 90.00°
Space group C2/m (No. 12)
Unique sites:
Ca: 0.000 0.000 0.000 (multiplicity 2)
Ca: 0.175 0.500 0.839 (multiplicity 4)
Ca: 0.198 0.500 0.351 (multiplicity 4)
Ni: 0.000 0.244 0.500 (multiplicity 4)
H: 0.001 0.000 0.641 (multiplicity 4)
H: 0.008 0.500 0.360 (multiplicity 4)
H: 0.153 0.267 0.577 (multiplicity 8)
H: 0.158 0.250 0.080 (multiplicity 8)

Entry 4:
## CaNi2H7 (PBE-GGA)

Data for a relaxed CaNi2H7 crystal.

Calculated values
- Crystal system: orthorhombic
- Final energy: -77.4 eV per cell

Cell: 4.800 8.915 3.406 Å, 90.00 90.00 90.00°
Space group Cmmm (No. 65)
Unique sites:
Ca: 0.000 0.000 0.000 (multiplicity 2)
Ni: 0.000 0.315 0.500 (multiplicity 4)
H: 0.000 0.334 0.000 (multiplicity 4)
H: 0.000 0.500 0.500 (multiplicity 2)
H: 0.173 0.151 0.500 (multiplicity 8)

Entry 5:
## Ca2NiH4 (PBE-GGA)

Data for a relaxed Ca2NiH4 crystal.

Calculated values
- Crystal system: tetragonal
- Polymorph energy (0 for the lowest one): 0.56 eV per formula unit

Cell: 3.476 3.476 13.970 Å, 90.00 90.00 90.00°
Space group I4/mmm (No. 139)
Unique sites:
Ca: 0.000 0.000 0.129 (multiplicity 4)
Ni: 0.000 0.000 0.500 (multiplicity 2)
H: 0.000 0.000 0.381 (multiplicity 4)
H: 0.000 0.500 0.000 (multiplicity 4)

Entry 6:
## Ca3Ni2H7 (PBE-GGA)

Data for a relaxed Ca3Ni2H7 crystal.

Calculated values
- Crystal system: tetragonal
- Final energy: -92.7 eV per cell

Cell: 3.488 3.488 20.829 Å, 90.00 90.00 90.00°
Space group I4/mmm (No. 139)
Unique sites:
Ca: 0.000 0.000 0.000 (multiplicity 2)
Ca: 0.000 0.000 0.172 (multiplicity 4)
Ni: 0.000 0.000 0.413 (multiplicity 4)
H: 0.000 0.000 0.332 (multiplicity 4)
H: 0.000 0.000 0.500 (multiplicity 2)
H: 0.000 0.500 0.086 (multiplicity 8)

Entry 7:
## Ca2NpNi3H12 (PBE-GGA)

Data for a relaxed Ca2NpNi3H12 crystal.

Calculated values
- Crystal system: trigonal
- Final energy: -235.3 eV per cell

Cell: 6.3190 6.3190 14.2493 Å, 90.00 90.00 120.00°
Space group R-3m (No. 166, hexagonal axes)
Unique sites:
Ca: 0.0000 0.0000 0.1157 (multiplicity 6)
Np: 0.0000 0.0000 0.5000 (multiplicity 3)
Ni: 0.0000 0.5000 0.0000 (multiplicity 9)
H: 0.0435 0.5218 0.8870 (multiplicity 18)
H: 0.0816 0.5408 0.3060 (multiplicity 18)

Entry 8:
## CaNi2PH (PBE-GGA)

Data for a relaxed CaNi2PH crystal.

Calculated values
- Crystal system: orthorhombic
- Final energy: -103.5 eV per cell

Cell: 3.652 10.267 6.606 Å, 90.00 90.00 90.00°
Space group Cmcm (No. 63)
Unique sites:
Ca: 0.000 0.049 0.250 (multiplicity 4)
Ni: 0.000 0.329 0.059 (multiplicity 8)
P: 0.000 0.230 0.750 (multiplicity 4)
H: 0.000 0.500 0.000 (multiplicity 4)

Entry 9:
## Ca2Ni2P2H (PBE-GGA)

Data for a relaxed Ca2Ni2P2H crystal.

Calculated values
- Crystal system: monoclinic
- Final energy: -70.3 eV per cell

Cell: 10.353 3.873 6.720 Å, 90.00 127.81 90.00°
Space group C2/m (No. 12)
Unique sites:
Ca: 0.059 0.000 0.304 (multiplicity 4)
Ni: 0.203 0.500 0.083 (multiplicity 4)
P: 0.175 0.500 0.720 (multiplicity 4)
H: 0.000 0.500 0.000 (multiplicity 2)

Entry 10:
## CaNiH4Pd2 (PBE-GGA)

Data for a relaxed CaNiH4Pd2 crystal.

Calculated values
- Crystal system: tetragonal
- Final energy: -67.7 eV per cell

Cell: 4.931 4.931 6.606 Å, 90.00 90.00 90.00°
Space group I-42m (No. 121)
Unique sites:
Ca: 0.000 0.000 0.000 (multiplicity 2)
Ni: 0.000 0.000 0.500 (multiplicity 2)
H: 0.182 0.182 0.670 (multiplicity 8)
Pd: 0.000 0.500 0.250 (multiplicity 4)

Entry 11:
## CaPmNi2H8 (PBE-GGA)

Data for a relaxed CaPmNi2H8 crystal.

Calculated values
- Crystal system: trigonal
- Final energy: -143.8 eV per cell

Cell: 4.5971 4.5971 18.5033 Å, 90.00 90.00 120.00°
Space group R-3m (No. 166, hexagonal axes)
Unique sites:
Ca: 0.0000 0.0000 0.0000 (multiplicity 3)
Pm: 0.0000 0.0000 0.5000 (multiplicity 3)
Ni: 0.0000 0.0000 0.2331 (multiplicity 6)
H: 0.0000 0.0000 0.1470 (multiplicity 6)
H: 0.0155 0.5077 0.0599 (multiplicity 18)

Entry 12:
## CaPmNi2H6 (PBE-GGA)

Data for a relaxed CaPmNi2H6 crystal.

Calculated values
- Crystal system: trigonal
- Final energy: -122.7 eV per cell

Cell: 4.6457 4.6457 16.5143 Å, 90.00 90.00 120.00°
Space group R-3m (No. 166, hexagonal axes)
Unique sites:
Ca: 0.0000 0.0000 0.0000 (multiplicity 3)
Pm: 0.0000 0.0000 0.5000 (multiplicity 3)
Ni: 0.0000 0.0000 0.2820 (multiplicity 6)
H: 0.0152 0.5076 0.4392 (multiplicity 18)

Entry 13:
## CaPrNi2H6 (PBE-GGA)

Data for a relaxed CaPrNi2H6 crystal.

Calculated values
- Crystal system: trigonal
- Final energy: -123.0 eV per cell

Cell: 4.6855 4.6855 16.6513 Å, 90.00 90.00 120.00°
Space group R-3m (No. 166, hexagonal axes)
Unique sites:
Ca: 0.0000 0.0000 0.0000 (multiplicity 3)
Pr: 0.0000 0.0000 0.5000 (multiplicity 3)
Ni: 0.0000 0.0000 0.2825 (multiplicity 6)
H: 0.0163 0.5082 0.4376 (multiplicity 18)

Entry 14:
## Ca2NiHPt (PBE-GGA)

Data for a relaxed Ca2NiHPt crystal.

Calculated values
- Crystal system: tetragonal
- Final energy: -21.8 eV per cell

Cell: 4.885 4.885 3.523 Å, 90.00 90.00 90.00°
Space group P4/mmm (No. 123)
Unique sites:
Ca: 0.000 0.500 0.000 (multiplicity 2)
Ni: 0.000 0.000 0.500 (multiplicity 1)
H: 0.000 0.000 0.000 (multiplicity 1)
Pt: 0.500 0.500 0.500 (multiplicity 1)

Entry 15:
## Rb2CaNiH6 (PBE-GGA)

Data for a relaxed Rb2CaNiH6 crystal.

Calculated values
- Crystal system: trigonal
- Final energy: -31.6 eV per cell

Cell: 6.1004 6.1004 5.6877 Å, 90.00 90.00 120.00°
Space group P-3m1 (No. 164)
Unique sites:
Rb: 0.3333 0.6667 0.3493 (multiplicity 2)
Ca: 0.0000 0.0000 0.0000 (multiplicity 1)
Ni: 0.0000 0.0000 0.5000 (multiplicity 1)
H: 0.1237 0.2473 0.6676 (multiplicity 6)

Entry 16:
## Ca2Ni3H12Rh (PBE-GGA)

Data for a relaxed Ca2Ni3H12Rh crystal.

Calculated values
- Crystal system: trigonal
- Final energy: -220.5 eV per cell

Cell: 5.6018 5.6018 16.0090 Å, 90.00 90.00 120.00°
Space group R-3m (No. 166, hexagonal axes)
Unique sites:
Ca: 0.0000 0.0000 0.1142 (multiplicity 6)
Ni: 0.0000 0.5000 0.0000 (multiplicity 9)
H: 0.0328 0.5164 0.1088 (multiplicity 18)
H: 0.0336 0.5168 0.3548 (multiplicity 18)
Rh: 0.0000 0.0000 0.5000 (multiplicity 3)

Entry 17:
## Ca2NiH6Rh (PBE-GGA)

Data for a relaxed Ca2NiH6Rh crystal.

Calculated values
- Crystal system: orthorhombic
- Final energy: -170.6 eV per cell

Cell: 7.159 7.171 7.251 Å, 90.00 90.00 90.00°
Space group Fmmm (No. 69)
Unique sites:
Ca: 0.250 0.250 0.250 (multiplicity 8)
Ni: 0.000 0.000 0.000 (multiplicity 4)
H: 0.000 0.000 0.246 (multiplicity 8)
H: 0.000 0.246 0.000 (multiplicity 8)
H: 0.246 0.000 0.000 (multiplicity 8)
Rh: 0.000 0.000 0.500 (multiplicity 4)

Entry 18:
## Ca2NiHRh (PBE-GGA)

Data for a relaxed Ca2NiHRh crystal.

Calculated values
- Crystal system: tetragonal
- Final energy: -21.8 eV per cell

Cell: 4.867 4.867 3.578 Å, 90.00 90.00 90.00°
Space group P4/mmm (No. 123)
Unique sites:
Ca: 0.000 0.500 0.000 (multiplicity 2)
Ni: 0.000 0.000 0.500 (multiplicity 1)
H: 0.500 0.500 0.000 (multiplicity 1)
Rh: 0.500 0.500 0.500 (multiplicity 1)

Entry 19:
## Ca2NiHRh (PBE-GGA)

Data for a relaxed Ca2NiHRh crystal.

Calculated values
- Crystal system: tetragonal
- Final energy: -21.8 eV per cell

Cell: 4.883 4.883 3.439 Å, 90.00 90.00 90.00°
Space group P4/mmm (No. 123)
Unique sites:
Ca: 0.000 0.500 0.000 (multiplicity 2)
Ni: 0.000 0.000 0.500 (multiplicity 1)
H: 0.000 0.000 0.000 (multiplicity 1)
Rh: 0.500 0.500 0.500 (multiplicity 1)

Entry 20:
## CaNiHRh2 (PBE-GGA)

Data for a relaxed CaNiHRh2 crystal.

Calculated values
- Crystal system: tetragonal
- Final energy: -26.3 eV per cell

Cell: 4.068 4.068 3.934 Å, 90.00 90.00 90.00°
Space group P4/mmm (No. 123)
Unique sites:
Ca: 0.000 0.000 0.000 (multiplicity 1)
Ni: 0.500 0.500 0.000 (multiplicity 1)
H: 0.500 0.500 0.500 (multiplicity 1)
Rh: 0.000 0.500 0.500 (multiplicity 2)